Entry 1:
A plane-wave DFT calculation with PBE-GGA was carried out for a geometry-optimized ReTe2SeS2 structure.

Cell lengths 6.600, 6.806, 7.709 Å; angles 78.69, 71.37, 82.44 degrees
Fractional positions:
Te: 0.250 0.567 0.515
Re: 0.716 0.501 0.992
Te: 0.750 0.433 0.485
Te: 0.243 0.227 0.325
S: 0.923 0.643 0.139
Re: 0.284 0.499 0.008
Te: 0.757 0.773 0.675
S: 0.077 0.357 0.861
Se: 0.678 0.200 0.252
S: 0.573 0.294 0.857
Se: 0.322 0.800 0.748
S: 0.427 0.706 0.143

Entry 2:
A plane-wave DFT calculation with PBE-GGA was carried out for a geometry-optimized Re2TeSeS2 structure.

Cell lengths 6.633, 6.856, 7.005 Å; angles 91.58, 103.80, 118.58 degrees
Fractional positions:
Te: 0.244 0.367 0.279
S: 0.734 0.105 0.763
Te: 0.756 0.633 0.721
S: 0.260 0.146 0.724
Re: 0.069 0.820 0.491
Se: 0.779 0.396 0.292
Se: 0.221 0.604 0.708
Re: 0.931 0.180 0.509
Re: 0.490 0.800 0.496
S: 0.740 0.854 0.276
S: 0.266 0.895 0.237
Re: 0.510 0.200 0.504

| no. | VASP energy (eV/atom) |
| --- | --- |
| 1 | -5.173 |
| 2 | -7.022 |